Here is an optimized crystal structure of RbLiZnHSe from the Alexandria database. Energies are from GGA-PBE.

Properties
- Excess energy over the best structure of this formula in the dataset: 38.7 kJ/mol of formula units

CIF file:
```
data_RbLiZnHSe
_chemical_formula_sum 'Rb1 Li1 Zn1 H1 Se1'
_cell_length_a 5.567
_cell_length_b 4.029
_cell_length_c 5.680
_cell_angle_alpha 90.00
_cell_angle_beta 101.21
_cell_angle_gamma 90.00
_space_group_name_H-M_alt 'P 1 m 1'
_space_group_IT_number 6
loop_
_space_group_symop_operation_xyz
'x,y,z'
'x,-y,z'
loop_
_atom_site_label
_atom_site_type_symbol
_atom_site_fract_x
_atom_site_fract_y
_atom_site_fract_z
Rb1 Rb 0.000 0.000 0.000
Li1 Li 0.358 0.500 0.575
Zn1 Zn 0.609 0.000 0.407
H1 H 0.414 0.000 0.605
Se1 Se 0.882 0.500 0.485
```


Here is an optimized crystal structure of As2PtAu from the Alexandria database. Energies are from GGA-PBE.

Properties
- E_form: 0.46 eV/f.u.
- Excess energy over the best structure of this formula in the dataset: 69.9 kJ/mol of formula units

CIF file:
```
data_As2PtAu
_chemical_formula_sum 'As4 Pt2 Au2'
_cell_length_a 5.838
_cell_length_b 6.906
_cell_length_c 3.515
_cell_angle_alpha 90.00
_cell_angle_beta 90.53
_cell_angle_gamma 90.00
_space_group_name_H-M_alt 'C 1 2/m 1'
_space_group_IT_number 12
loop_
_space_group_symop_operation_xyz
'x,y,z'
'-x,-y,-z'
'-x,y,-z'
'x,-y,z'
'x+1/2,y+1/2,z'
'-x+1/2,-y+1/2,-z'
'-x+1/2,y+1/2,-z'
'x+1/2,-y+1/2,z'
loop_
_atom_site_label
_atom_site_type_symbol
_atom_site_fract_x
_atom_site_fract_y
_atom_site_fract_z
As1 As 0.250 0.250 0.000
Pt1 Pt 0.000 0.000 0.500
Au1 Au 0.000 0.500 0.500
```


Here is an optimized crystal structure of Ta2FeTe from the Alexandria database. Energies are from GGA-PBE.

Properties
- Raw total energy: -34.25 eV per cell

CIF file:
```
data_Ta2FeTe
_chemical_formula_sum 'Ta2 Fe1 Te1'
_cell_length_a 3.244
_cell_length_b 3.784
_cell_length_c 5.827
_cell_angle_alpha 90.00
_cell_angle_beta 100.76
_cell_angle_gamma 90.00
_space_group_name_H-M_alt 'P 1 2/m 1'
_space_group_IT_number 10
loop_
_space_group_symop_operation_xyz
'x,y,z'
'-x,-y,-z'
'-x,y,-z'
'x,-y,z'
loop_
_atom_site_label
_atom_site_type_symbol
_atom_site_fract_x
_atom_site_fract_y
_atom_site_fract_z
Ta1 Ta 0.061 0.000 0.281
Fe1 Fe 0.500 0.500 0.500
Te1 Te 0.500 0.500 0.000
```


Here is an optimized crystal structure of AgSnTeS4 from the Alexandria database. Energies are from GGA-PBE.

Properties
- Raw total energy: -108.73 eV per cell

CIF file:
```
data_AgSnTeS4
_chemical_formula_sum 'Ag4 Sn4 Te4 S16'
_cell_length_a 7.746
_cell_length_b 8.201
_cell_length_c 10.873
_cell_angle_alpha 90.00
_cell_angle_beta 90.00
_cell_angle_gamma 90.00
_space_group_name_H-M_alt 'I m m a'
_space_group_IT_number 74
_space_group_name_Hall '-I 2b 2'
loop_
_atom_site_label
_atom_site_type_symbol
_atom_site_fract_x
_atom_site_fract_y
_atom_site_fract_z
Ag1 Ag 0.000 0.250 0.139
Sn1 Sn 0.250 0.250 0.750
Te1 Te 0.000 0.000 0.500
S1 S 0.000 0.020 0.747
S2 S 0.234 0.250 0.501
```


Here is an optimized crystal structure of Cs2CrAgBr6 from the Alexandria database. Energies are from GGA-PBE.

Properties
- Excess energy over the best structure of this formula in the dataset: 24.8 kJ/mol of formula units

CIF file:
```
data_Cs2CrAgBr6
_chemical_formula_sum 'Cs4 Cr2 Ag2 Br12'
_cell_length_a 7.705
_cell_length_b 7.705
_cell_length_c 10.874
_cell_angle_alpha 90.00
_cell_angle_beta 90.00
_cell_angle_gamma 90.00
_space_group_name_H-M_alt 'I 4/m m m'
_space_group_IT_number 139
_space_group_name_Hall '-I 4 2'
loop_
_atom_site_label
_atom_site_type_symbol
_atom_site_fract_x
_atom_site_fract_y
_atom_site_fract_z
Cs1 Cs 0.000 0.500 0.250
Cr1 Cr 0.000 0.000 0.000
Ag1 Ag 0.000 0.000 0.500
Br1 Br 0.000 0.000 0.235
Br2 Br 0.235 0.235 0.000
```


Here is an optimized crystal structure of Li12Tl6Rh from the Alexandria database. Energies are from GGA-PBE.

Properties
- E_form: -3.67 eV/f.u.

CIF file:
```
data_Li12Tl6Rh
_chemical_formula_sum 'Li36 Tl18 Rh3'
_cell_length_a 10.2292
_cell_length_b 10.2292
_cell_length_c 12.3349
_cell_angle_alpha 90.00
_cell_angle_beta 90.00
_cell_angle_gamma 120.00
_space_group_name_H-M_alt 'R -3'
_space_group_IT_number 148
_space_group_name_Hall '-R 3'
loop_
_atom_site_label
_atom_site_type_symbol
_atom_site_fract_x
_atom_site_fract_y
_atom_site_fract_z
Li1 Li 0.0413 0.8601 0.3215
Li2 Li 0.0633 0.2104 0.9081
Tl1 Tl 0.0211 0.5897 0.2152
Rh1 Rh 0.0000 0.0000 0.5000
```


Here is an optimized crystal structure of Li3In6Ag from the Alexandria database. Energies are from GGA-PBE.

Properties
- E_form: -0.88 eV/f.u.
- Excess energy over the best structure of this formula in the dataset: 71.6 kJ/mol of formula units

CIF file:
```
data_Li3In6Ag
_chemical_formula_sum 'Li6 In12 Ag2'
_cell_length_a 9.932
_cell_length_b 5.975
_cell_length_c 8.226
_cell_angle_alpha 90.00
_cell_angle_beta 112.49
_cell_angle_gamma 90.00
_space_group_name_H-M_alt 'C 1 2/m 1'
_space_group_IT_number 12
loop_
_space_group_symop_operation_xyz
'x,y,z'
'-x,-y,-z'
'-x,y,-z'
'x,-y,z'
'x+1/2,y+1/2,z'
'-x+1/2,-y+1/2,-z'
'-x+1/2,y+1/2,-z'
'x+1/2,-y+1/2,z'
loop_
_atom_site_label
_atom_site_type_symbol
_atom_site_fract_x
_atom_site_fract_y
_atom_site_fract_z
Li1 Li 0.000 0.000 0.000
Li2 Li 0.100 0.000 0.688
In1 In 0.152 0.249 0.308
In2 In 0.161 0.500 0.936
Ag1 Ag 0.000 0.500 0.500
```


Here is an optimized crystal structure of MnReMo4 from the Alexandria database. Energies are from GGA-PBE.

Properties
- E_form: 2.39 eV/f.u.

CIF file:
```
data_MnReMo4
_chemical_formula_sum 'Mn4 Re4 Mo16'
_cell_length_a 7.297
_cell_length_b 7.297
_cell_length_c 7.297
_cell_angle_alpha 90.00
_cell_angle_beta 90.00
_cell_angle_gamma 90.00
_space_group_name_H-M_alt 'F -4 3 m'
_space_group_IT_number 216
_space_group_name_Hall 'F -4 2 3'
loop_
_atom_site_label
_atom_site_type_symbol
_atom_site_fract_x
_atom_site_fract_y
_atom_site_fract_z
Mn1 Mn 0.000 0.000 0.000
Re1 Re 0.250 0.250 0.250
Mo1 Mo 0.126 0.126 0.626
```


Here is an optimized crystal structure of NdTiSi2Os from the Alexandria database. Energies are from GGA-PBE.

Properties
- Raw total energy: -77.10 eV per cell

CIF file:
```
data_NdTiSi2Os
_chemical_formula_sum 'Nd2 Ti2 Si4 Os2'
_cell_length_a 4.054
_cell_length_b 4.054
_cell_length_c 10.907
_cell_angle_alpha 90.00
_cell_angle_beta 90.00
_cell_angle_gamma 90.00
_space_group_name_H-M_alt 'I -4 m 2'
_space_group_IT_number 119
_space_group_name_Hall 'I -4 -2'
loop_
_atom_site_label
_atom_site_type_symbol
_atom_site_fract_x
_atom_site_fract_y
_atom_site_fract_z
Nd1 Nd 0.000 0.000 0.000
Ti1 Ti 0.000 0.500 0.750
Si1 Si 0.000 0.000 0.386
Os1 Os 0.000 0.500 0.250
```


Here is an optimized crystal structure of HoScPtRh from the Alexandria database. Energies are from GGA-PBE.

Properties
- E_form: -4.37 eV/f.u.
- Excess energy over the best structure of this formula in the dataset: 0.0 kJ/mol of formula units

CIF file:
```
data_HoScPtRh
_chemical_formula_sum 'Ho1 Sc1 Pt1 Rh1'
_cell_length_a 3.342
_cell_length_b 3.342
_cell_length_c 6.766
_cell_angle_alpha 90.00
_cell_angle_beta 90.00
_cell_angle_gamma 90.00
_space_group_name_H-M_alt 'P 4 m m'
_space_group_IT_number 99
loop_
_space_group_symop_operation_xyz
'x,y,z'
'-y,x,z'
'-x,-y,z'
'y,-x,z'
'-x,y,z'
'y,x,z'
'x,-y,z'
'-y,-x,z'
loop_
_atom_site_label
_atom_site_type_symbol
_atom_site_fract_x
_atom_site_fract_y
_atom_site_fract_z
Ho1 Ho 0.000 0.000 0.000
Sc1 Sc 0.000 0.000 0.489
Pt1 Pt 0.500 0.500 0.727
Rh1 Rh 0.500 0.500 0.262
```


Here is an optimized crystal structure of Pm8BiC4 from the Alexandria database. Energies are from GGA-PBE.

Properties
- E_form: -0.76 eV/f.u.
- Excess energy over the best structure of this formula in the dataset: 208.8 kJ/mol of formula units

CIF file:
```
data_Pm8BiC4
_chemical_formula_sum 'Pm32 Bi4 C16'
_cell_length_a 11.260
_cell_length_b 11.260
_cell_length_c 11.260
_cell_angle_alpha 90.00
_cell_angle_beta 90.00
_cell_angle_gamma 90.00
_space_group_name_H-M_alt 'F -4 3 m'
_space_group_IT_number 216
_space_group_name_Hall 'F -4 2 3'
loop_
_atom_site_label
_atom_site_type_symbol
_atom_site_fract_x
_atom_site_fract_y
_atom_site_fract_z
Pm1 Pm 0.101 0.101 0.399
Pm2 Pm 0.140 0.140 0.860
Bi1 Bi 0.250 0.250 0.250
C1 C 0.130 0.130 0.630
```


Here is an optimized crystal structure of Cs3Rb2US6 from the Alexandria database. Energies are from GGA-PBE.

Properties
- Raw total energy: -109.40 eV per cell

CIF file:
```
data_Cs3Rb2US6
_chemical_formula_sum 'Cs6 Rb4 U2 S12'
_cell_length_a 8.145
_cell_length_b 13.960
_cell_length_c 8.191
_cell_angle_alpha 90.00
_cell_angle_beta 109.42
_cell_angle_gamma 90.00
_space_group_name_H-M_alt 'C 1 2/m 1'
_space_group_IT_number 12
loop_
_space_group_symop_operation_xyz
'x,y,z'
'-x,-y,-z'
'-x,y,-z'
'x,-y,z'
'x+1/2,y+1/2,z'
'-x+1/2,-y+1/2,-z'
'-x+1/2,y+1/2,-z'
'x+1/2,-y+1/2,z'
loop_
_atom_site_label
_atom_site_type_symbol
_atom_site_fract_x
_atom_site_fract_y
_atom_site_fract_z
Cs1 Cs 0.000 0.000 0.000
Cs2 Cs 0.000 0.325 0.000
Rb1 Rb 0.000 0.165 0.500
U1 U 0.000 0.500 0.500
S1 S 0.191 0.500 0.305
S2 S 0.194 0.369 0.693
```